Entry 1:
A plane-wave DFT calculation with PBE was carried out for crystalline TcAs2SeO at its relaxed geometry.

Summary:
Magnetization   1.60 Bohr magnetons per cell
DOS(E_F)   2.34 states/eV per cell
ΔE_f (raw)   0.5213 eV per atom
Crystal system   tetragonal

Cell: 4.2018 4.2018 4.6202 Å, 90.00 90.00 90.00°
Element x y z (fractional)
Tc1 0.0000 0.0000 0.0000
As1 0.0000 0.5000 0.5000
As2 0.5000 0.0000 0.5000
Se1 0.5000 0.5000 0.0000
O1 0.5000 0.5000 0.5000

***

Entry 2:
A plane-wave DFT calculation with PBE was carried out for crystalline TeAsSe2O at its relaxed geometry.

Summary:
Magnetization   0.00 Bohr magnetons per cell
DOS(E_F)   3.44 states/eV per cell
ΔE_f (raw)   0.4349 eV per atom
Crystal system   tetragonal

Cell: 4.6709 4.6709 4.4430 Å, 90.00 90.00 90.00°
Element x y z (fractional)
Te1 0.0000 0.0000 0.0000
As1 0.5000 0.5000 0.0000
Se1 0.0000 0.5000 0.5000
Se2 0.5000 0.0000 0.5000
O1 0.5000 0.5000 0.5000

***

Entry 3:
A plane-wave DFT calculation with PBE was carried out for crystalline TeAsSe2O at its relaxed geometry.

Summary:
Magnetization   0.00 Bohr magnetons per cell
DOS(E_F)   13.05 states/eV per cell
ΔE_f (raw)   1.3666 eV per atom
Crystal system   tetragonal

Cell: 5.2759 5.2759 5.4640 Å, 90.00 90.00 90.00°
Element x y z (fractional)
Te1 0.0000 0.0000 0.0000
As1 0.0000 0.0000 0.5000
Se1 0.0000 0.5000 0.0000
Se2 0.5000 0.0000 0.0000
O1 0.5000 0.5000 0.5000

***

Entry 4:
A plane-wave DFT calculation with PBE was carried out for crystalline Th2AsSe2O at its relaxed geometry.

Summary:
Magnetization   0.00 Bohr magnetons per cell
ΔE_f (raw)   -2.0646 eV per atom
Crystal system   orthorhombic

Cell: 8.3582 8.3582 8.3582 Å, 127.24 67.65 140.82°
Element x y z (fractional)
Th1 0.1051 0.1842 0.2893
Th2 0.3949 0.6842 0.0792
Th3 0.6051 0.3158 0.9208
Th4 0.8949 0.8158 0.7107
As1 0.2500 0.7500 0.5000
As2 0.7500 0.2500 0.5000
Se1 0.1904 0.8219 0.0123
Se2 0.3096 0.3219 0.6316
Se3 0.6904 0.6781 0.3684
Se4 0.8096 0.1781 0.9877
O1 0.2500 0.2500 0.0000
O2 0.7500 0.7500 0.0000